1.
First-principles (GGA-PBE) data for HoGeAu after structural relaxation, as listed in the Alexandria database.

a = 3.6633 Å, b = 4.4492 Å, c = 4.4492 Å
α = 120.00°, β = 90.00°, γ = 90.00°
Element x y z (fractional)
Ge1 0.1820 0.3333 0.6667
Ho1 0.6637 0.6667 0.3333
Au1 0.1543 0.0000 0.0000

2.
First-principles (GGA-PBE) data for HoGeAu after structural relaxation, as listed in the Alexandria database.

a = 4.4509 Å, b = 7.8057 Å, c = 14.2629 Å
α = 90.00°, β = 90.00°, γ = 90.00°
Element x y z (fractional)
Ho1 0.5000 0.7091 0.5000
Ho2 0.0000 0.2876 0.5000
Ho3 0.0000 0.2193 0.7522
Ho4 0.5000 0.7807 0.2522
Ho5 0.0000 0.2193 0.2478
Ho6 0.5000 0.7807 0.7478
Ho7 0.5000 0.7124 0.0000
Ho8 0.0000 0.2909 0.0000
Ge1 0.0000 0.5923 0.6370
Ge2 0.5000 0.0913 0.3965
Ge3 0.0000 0.9087 0.8965
Ge4 0.0000 0.9087 0.1035
Ge5 0.0000 0.5923 0.3630
Ge6 0.5000 0.0913 0.6035
Ge7 0.5000 0.4077 0.8630
Ge8 0.5000 0.4077 0.1370
Au1 0.0000 0.5836 0.8493
Au2 0.0000 0.9231 0.6095
Au3 0.0000 0.5836 0.1507
Au4 0.5000 0.4164 0.6507
Au5 0.5000 0.0769 0.8905
Au6 0.0000 0.9231 0.3905
Au7 0.5000 0.0769 0.1095
Au8 0.5000 0.4164 0.3493

3.
First-principles (GGA-PBE) data for HoGeAu after structural relaxation, as listed in the Alexandria database.

a = 4.6085 Å, b = 4.6085 Å, c = 4.6074 Å
α = 120.01°, β = 120.01°, γ = 90.00°
Element x y z (fractional)
Ge1 0.0000 0.0000 0.0000
Ho1 0.5000 0.5000 0.0000
Au1 0.7500 0.2500 0.5000

4.
First-principles (GGA-PBE) data for HoGe2Au after structural relaxation, as listed in the Alexandria database.

Results
E above lowest polymorph = 0 meV per atom

a = 4.1125 Å, b = 4.3963 Å, c = 4.3963 Å
α = 90.00°, β = 90.00°, γ = 90.00°
Element x y z (fractional)
Ho1 0.5000 0.5000 0.5000
Ge1 0.0000 0.5000 0.0000
Ge2 0.0000 0.0000 0.5000
Au1 0.5000 0.0000 0.0000

5.
First-principles (GGA-PBE) data for HoGeAu after structural relaxation, as listed in the Alexandria database.

a = 3.4910 Å, b = 4.7399 Å, c = 7.6587 Å
α = 90.00°, β = 90.01°, γ = 90.00°
Element x y z (fractional)
Ge1 0.4996 0.2500 0.4284
Ge2 0.5004 0.7500 0.5716
Au1 0.5000 0.7500 0.9056
Au2 0.5000 0.2500 0.0944
Ho1 0.0000 0.7500 0.2435
Ho2 0.0000 0.2500 0.7565

6.
First-principles (GGA-PBE) data for Ho8Ge5Au after structural relaxation, as listed in the Alexandria database.

a = 7.6322 Å, b = 7.6322 Å, c = 7.6322 Å
α = 109.68°, β = 109.05°, γ = 109.68°
Element x y z (fractional)
Ho1 0.7502 0.2442 0.3668
Ho2 0.1225 0.7558 0.5060
Ho3 0.4940 0.6165 0.2498
Ho4 0.1274 0.7537 0.0123
Ho5 0.9877 0.1150 0.7414
Ho6 0.6332 0.3835 0.8775
Ho7 0.6263 0.8850 0.8726
Ho8 0.2586 0.2463 0.3737
Au1 0.2500 0.5000 0.7500
Ge1 0.3726 0.1226 0.9953
Ge2 0.5000 0.0000 0.5000
Ge3 0.7500 0.6227 0.6274
Ge4 0.8727 0.8774 0.2500
Ge5 0.0047 0.3773 0.1273

7.
First-principles (GGA-PBE) data for HoGeAu after structural relaxation, as listed in the Alexandria database.

a = 3.5122 Å, b = 3.5122 Å, c = 5.7619 Å
α = 107.74°, β = 107.74°, γ = 90.00°
Element x y z (fractional)
Au1 0.9444 0.9444 0.8889
Ge1 0.2950 0.2950 0.5901
Ho1 0.6105 0.6105 0.2210

8.
First-principles (GGA-PBE) data for HoGeAu2 after structural relaxation, as listed in the Alexandria database.

a = 4.5696 Å, b = 5.8523 Å, c = 6.0851 Å
α = 90.00°, β = 90.00°, γ = 90.00°
Element x y z (fractional)
Ho1 0.7500 0.3850 0.7500
Ho2 0.2500 0.6150 0.2500
Au1 0.7500 0.8423 0.4940
Au2 0.2500 0.1577 0.5060
Au3 0.7500 0.8423 0.0061
Au4 0.2500 0.1577 0.9939
Ge1 0.2500 0.7471 0.7500
Ge2 0.7500 0.2529 0.2500

9.
First-principles (GGA-PBE) data for HoInGeAu after structural relaxation, as listed in the Alexandria database.

a = 4.9772 Å, b = 4.9772 Å, c = 4.9772 Å
α = 60.00°, β = 60.00°, γ = 60.00°
Element x y z (fractional)
Au1 0.7500 0.7500 0.7500
Ge1 0.2500 0.2500 0.2500
Ho1 0.5000 0.5000 0.5000
In1 0.0000 0.0000 0.0000

10.
First-principles (GGA-PBE) data for LiHoGeAu after structural relaxation, as listed in the Alexandria database.

a = 4.8108 Å, b = 4.8108 Å, c = 4.8108 Å
α = 60.00°, β = 60.00°, γ = 60.00°
Element x y z (fractional)
Li1 0.5000 0.5000 0.5000
Ge1 0.2500 0.2500 0.2500
Ho1 0.0000 0.0000 0.0000
Au1 0.7500 0.7500 0.7500

11.
First-principles (GGA-PBE) data for HoMgGeAu after structural relaxation, as listed in the Alexandria database.

a = 4.9002 Å, b = 4.9002 Å, c = 4.9002 Å
α = 60.00°, β = 60.00°, γ = 60.00°
Element x y z (fractional)
Mg1 0.0000 0.0000 0.0000
Ge1 0.2500 0.2500 0.2500
Ho1 0.5000 0.5000 0.5000
Au1 0.7500 0.7500 0.7500

12.
First-principles (GGA-PBE) data for NaHoGeAu after structural relaxation, as listed in the Alexandria database.

a = 4.9633 Å, b = 4.9633 Å, c = 4.9633 Å
α = 60.00°, β = 60.00°, γ = 60.00°
Element x y z (fractional)
Au1 0.7500 0.7500 0.7500
Na1 0.5000 0.5000 0.5000
Ho1 0.0000 0.0000 0.0000
Ge1 0.2500 0.2500 0.2500

13.
First-principles (GGA-PBE) data for NdHoGeAu after structural relaxation, as listed in the Alexandria database.

Results
E above lowest polymorph = 90 meV per atom

a = 5.1552 Å, b = 5.1552 Å, c = 5.1552 Å
α = 60.00°, β = 60.00°, γ = 60.00°
Element x y z (fractional)
Nd1 0.2500 0.2500 0.2500
Ge1 0.5000 0.5000 0.5000
Ho1 0.7500 0.7500 0.7500
Au1 0.0000 0.0000 0.0000

DOS at the Fermi energy per entry: 1.17, 1.39, 0.12, 1.54, 1.22, 7.54, 2.34, 1.64, 3.52, 1.96, 1.04, 2.54, 3.82 states/eV/f.u.
Energy per entry: -4.94, -4.93, -4.91, -4.77, -4.85, -5.31, -4.65, -4.53, -4.22, -4.24, -4.16, -3.94, -5.03 eV/atom